DFT (PBE-GGA) results for a relaxed Pm4Cd3Sn5 crystal.

Calculated values
E_tot ... -3.8225 eV per atom
Fermi-level density of states ... 6.717 states/eV/f.u.

a b c (Å): 5.1520 6.3796 13.5743
angles (deg): 111.91 79.06 66.18
Last column: nearest neighbours and their distance in Å.
Sites, in units of the cell vectors:
Pm1 0.7678 0.3708 0.0936  5 Sn 3.17-3.33
Pm2 0.1343 0.9896 0.7418  4 Sn 3.05-3.31
Pm3 0.8657 0.0104 0.2582  4 Sn 3.05-3.31
Pm4 0.2322 0.6292 0.9064  5 Sn 3.17-3.33
Cd1 0.3703 0.8670 0.3924  3 Sn 3.12-3.30, 1 Cd 3.23, 2 Pm 3.47
Cd2 0.0000 0.5000 0.5000  2 Sn 2.58
Cd3 0.6297 0.1330 0.6076  3 Sn 3.12-3.30, 1 Cd 3.23, 2 Pm 3.47
Sn1 0.4931 0.0979 0.9158  2 Sn 2.98-2.99, 5 Pm 3.17-3.32
Sn2 0.5000 0.5000 0.5000  2 Cd 2.58
Sn3 0.1308 0.4691 0.2693  1 Sn 2.98, 3 Cd 2.99-3.30, 3 Pm 3.24-3.33
Sn4 0.8692 0.5309 0.7307  1 Sn 2.98, 3 Cd 2.99-3.30, 3 Pm 3.24-3.33
Sn5 0.5069 0.9021 0.0842  2 Sn 2.98-2.99, 5 Pm 3.17-3.32

***

DFT (PBE-GGA) results for a relaxed CsPu2CdCl8 crystal.

Calculated values
E_tot ... -5.4419 eV per atom
Raw formation energy ... -1675 meV per atom
Fermi-level density of states ... 28.156 states/eV/f.u.

a b c (Å): 6.8007 6.7019 8.8438
angles (deg): 89.93 89.94 86.19
Last column: nearest neighbours and their distance in Å.
Sites, in units of the cell vectors:
Cs1 0.0000 0.0000 0.5000  6 Cl 3.28-3.39
Pu1 0.5001 0.5000 0.7601  6 Cl 2.77-2.84
Pu2 0.4999 0.5000 0.2399  6 Cl 2.77-2.84
Cd1 0.0000 0.0000 0.0000  4 Cl 2.63-2.64
Cl1 0.1634 0.7511 0.2016  1 Cd 2.64, 1 Pu 2.77
Cl2 0.6517 0.7251 0.9998  2 Pu 2.84, 1 Cd 3.10
Cl3 0.8357 0.2480 0.2014  1 Cd 2.63, 1 Pu 2.77
Cl4 0.8366 0.2489 0.7984  1 Cd 2.64, 1 Pu 2.77
Cl5 0.3483 0.2749 0.0002  2 Pu 2.84, 1 Cd 3.10
Cl6 0.1643 0.7520 0.7986  1 Cd 2.63, 1 Pu 2.77
Cl7 0.6056 0.7167 0.4996  2 Pu 2.84
Cl8 0.3944 0.2833 0.5004  2 Pu 2.84

***

DFT (PBE-GGA) results for a relaxed La3Er6Tm crystal.

Calculated values
E_tot ... -4.5063 eV per atom
ΔE to the lowest computed polymorph ... 0.0 meV per atom
Fermi-level density of states ... 14.683 states/eV/f.u.

a b c (Å): 6.3003 10.9796 10.9796
angles (deg): 119.60 90.00 90.00
Last column: nearest neighbours and their distance in Å.
Sites, in units of the cell vectors:
La1 0.4662 0.9406 0.7154  6 Er 3.29-3.56, 1 Tm 3.29, 1 La 3.68
La2 0.9662 0.7154 0.9406  6 Er 3.29-3.56, 1 Tm 3.29, 1 La 3.68
La3 0.0655 0.3887 0.6113  7 Er 3.44-3.82, 1 Tm 3.63, 2 La 3.68
La4 0.5655 0.6113 0.3887  7 Er 3.44-3.82, 1 Tm 3.63, 2 La 3.68
La5 0.9662 0.0594 0.2846  6 Er 3.29-3.56, 1 Tm 3.29, 1 La 3.68
La6 0.4662 0.2846 0.0594  6 Er 3.29-3.56, 1 Tm 3.29, 1 La 3.68
Er1 0.0456 0.7141 0.6191  5 Er 3.41-3.81, 4 La 3.42-3.74
Er2 0.5456 0.6191 0.7141  5 Er 3.41-3.81, 4 La 3.42-3.74
Er3 0.3703 0.5340 0.9564  5 Er 3.20-3.48, 2 Tm 3.26-3.55, 2 La 3.29-3.49
Er4 0.8703 0.9564 0.5340  5 Er 3.20-3.48, 2 Tm 3.26-3.55, 2 La 3.29-3.49
Er5 0.3901 0.9591 0.0409  1 Tm 3.35, 4 La 3.51-3.55, 2 Er 3.51
Er6 0.6375 0.2760 0.7240  4 Er 3.20-3.40, 2 Tm 3.42-3.53, 1 La 3.44
Er7 0.1375 0.7240 0.2760  4 Er 3.20-3.40, 2 Tm 3.42-3.53, 1 La 3.44
Er8 0.8901 0.0409 0.9591  1 Tm 3.35, 4 La 3.51-3.55, 2 Er 3.51
Er9 0.3703 0.0436 0.4660  5 Er 3.20-3.48, 2 Tm 3.26-3.55, 2 La 3.29-3.49
Er10 0.8703 0.4660 0.0436  5 Er 3.20-3.48, 2 Tm 3.26-3.55, 2 La 3.29-3.49
Er11 0.0456 0.3809 0.2859  5 Er 3.41-3.81, 4 La 3.42-3.74
Er12 0.5456 0.2859 0.3809  5 Er 3.41-3.81, 4 La 3.42-3.74
Tm1 0.1278 0.1989 0.8011  7 Er 3.26-3.55, 3 La 3.29-3.63
Tm2 0.6278 0.8011 0.1989  7 Er 3.26-3.55, 3 La 3.29-3.63

***

DFT (PBE-GGA) results for a relaxed CaSiRuRh2 crystal.

Calculated values
E_tot ... -5.7287 eV per atom
Raw formation energy ... 552 meV per atom
Fermi-level density of states ... 4.352 states/eV/f.u.

a b c (Å): 4.3852 5.1595 4.3852
angles (deg): 90.00 90.00 90.00
Last column: nearest neighbours and their distance in Å.
Sites, in units of the cell vectors:
Ru1 0.5000 0.5000 0.5000  4 Ca 3.10, 8 Rh 3.39
Ca1 0.0000 0.5000 0.0000  2 Si 2.58
Rh1 0.0000 0.0000 0.5000  2 Si 2.19
Rh2 0.5000 0.0000 0.0000  2 Si 2.19
Si1 0.0000 0.0000 0.0000  4 Rh 2.19

***

DFT (PBE-GGA) results for a relaxed CaTeMo2 crystal.

Calculated values
E_tot ... -6.2555 eV per atom
Raw formation energy ... 446 meV per atom
Fermi-level density of states ... 3.727 states/eV/f.u.

a b c (Å): 5.0304 3.5952 5.0129
angles (deg): 87.80 90.00 90.00
Last column: nearest neighbours and their distance in Å.
Sites, in units of the cell vectors:
Mo1 0.0000 0.1802 0.9692  1 Mo 2.23
Mo2 0.0000 0.3198 0.5308  1 Mo 2.23
Te1 0.5000 0.2500 0.2500  4 Mo 2.90, 4 Ca 3.03-3.14
Ca1 0.5000 0.7500 0.7500  4 Te 3.03-3.14, 4 Mo 3.17

***

DFT (PBE-GGA) results for a relaxed ReSbPb4 crystal.

Calculated values
E_tot ... -4.1271 eV per atom
Raw formation energy ... 1107 meV per atom
Fermi-level density of states ... 4.778 states/eV/f.u.

a b c (Å): 6.3215 6.3215 6.3215
angles (deg): 60.00 60.00 60.00
Last column: nearest neighbours and their distance in Å.
Sites, in units of the cell vectors:
Re1 0.7500 0.7500 0.7500  12 Pb 3.71, 4 Sb 3.87
Sb1 0.0000 0.0000 0.0000  12 Pb 3.71, 4 Re 3.87
Pb1 0.8736 0.3755 0.3755  6 Pb 3.15-3.17
Pb2 0.3755 0.3755 0.8736  6 Pb 3.15-3.17
Pb3 0.3755 0.8736 0.3755  6 Pb 3.15-3.17
Pb4 0.3755 0.3755 0.3755  6 Pb 3.15-3.17

***

DFT (PBE-GGA) results for a relaxed CsCdPb3 crystal.

Calculated values
E_tot ... -1.3562 eV per atom
ΔE to the lowest computed polymorph ... 1329.1 meV per atom
Fermi-level density of states ... 5.668 states/eV/f.u.

a b c (Å): 6.4673 6.4673 6.4673
angles (deg): 90.00 90.00 90.00
Last column: nearest neighbours and their distance in Å.
Sites, in units of the cell vectors:
Pb1 0.0000 0.5000 0.0000  2 Cs 3.23
Pb2 0.0000 0.0000 0.5000  2 Cs 3.23
Pb3 0.5000 0.0000 0.0000  2 Cs 3.23
Cs1 0.0000 0.0000 0.0000  6 Pb 3.23
Cd1 0.5000 0.5000 0.5000  12 Pb 4.57

***

DFT (PBE-GGA) results for a relaxed TbPmNi crystal.

Calculated values
E_tot ... -5.2409 eV per atom
ΔE to the lowest computed polymorph ... 2.1 meV per atom
Fermi-level density of states ... 3.395 states/eV/f.u.

a b c (Å): 3.4577 3.4577 6.7697
angles (deg): 104.80 104.80 90.00
Last column: nearest neighbours and their distance in Å.
Sites, in units of the cell vectors:
Ni1 0.6612 0.6612 0.3224  4 Tb 2.89, 4 Pm 3.01
Tb1 0.0388 0.0388 0.0776  4 Ni 2.89
Pm1 0.3000 0.3000 0.6001  4 Ni 3.01, 1 Tb 3.30

***

DFT (PBE-GGA) results for a relaxed LaDy2N crystal.

Calculated values
E_tot ... -5.7919 eV per atom
ΔE to the lowest computed polymorph ... 540.0 meV per atom
Raw formation energy ... -178 meV per atom
Fermi-level density of states ... 4.935 states/eV/f.u.

a b c (Å): 3.1712 3.1712 9.1027
angles (deg): 90.00 90.00 90.00
Last column: nearest neighbours and their distance in Å.
Sites, in units of the cell vectors:
N1 0.5000 0.5000 0.0000  8 Dy 2.65
La1 0.5000 0.5000 0.5000  4 La 3.17
Dy1 0.0000 0.0000 0.8448  4 N 2.65, 1 Dy 2.82
Dy2 0.0000 0.0000 0.1552  4 N 2.65, 1 Dy 2.82

***

DFT (PBE-GGA) results for a relaxed Cd2InHg10 crystal.

Calculated values
E_tot ... -0.5225 eV per atom
Fermi-level density of states ... 3.274 states/eV/f.u.

a b c (Å): 6.2643 8.0647 8.2523
angles (deg): 81.52 67.69 67.15
Last column: nearest neighbours and their distance in Å.
Sites, in units of the cell vectors:
Cd1 0.0000 0.5000 0.0000  8 Hg 3.10-3.25, 2 Cd 3.13
Cd2 0.5000 0.5000 0.0000  8 Hg 3.10-3.25, 2 Cd 3.13
In1 0.0000 0.0000 0.0000  16 Hg 3.73-4.13, 4 Cd 4.03
Hg1 0.3501 0.6452 0.6547  6 Hg 3.20-3.48, 2 Cd 3.25
Hg2 0.6499 0.3548 0.3453  6 Hg 3.20-3.48, 2 Cd 3.25
Hg3 0.9953 0.3548 0.6547  6 Hg 3.20-3.48, 2 Cd 3.25
Hg4 0.0047 0.6452 0.3453  6 Hg 3.20-3.48, 2 Cd 3.25
Hg5 0.0000 0.0000 0.5000  10 Hg 3.13-3.29
Hg6 0.5000 0.0000 0.5000  10 Hg 3.13-3.29
Hg7 0.2933 0.2084 0.2050  5 Hg 3.10-3.42, 2 Cd 3.10
Hg8 0.7067 0.7916 0.7950  5 Hg 3.10-3.42, 2 Cd 3.10
Hg9 0.5017 0.7916 0.2050  5 Hg 3.10-3.42, 2 Cd 3.10
Hg10 0.4983 0.2084 0.7950  5 Hg 3.10-3.42, 2 Cd 3.10

***

DFT (PBE-GGA) results for a relaxed Zr2Ge2Au crystal.

Calculated values
E_tot ... -6.5475 eV per atom
ΔE to the lowest computed polymorph ... 0.0 meV per atom
Fermi-level density of states ... 1.403 states/eV/f.u.

a b c (Å): 6.9223 6.9223 3.9116
angles (deg): 90.00 90.00 90.00
Last column: nearest neighbours and their distance in Å.
Sites, in units of the cell vectors:
Ge1 0.3731 0.8731 0.0000  1 Ge 2.49, 2 Au 2.73, 2 Zr 2.74
Ge2 0.8731 0.6269 0.0000  1 Ge 2.49, 2 Au 2.73, 2 Zr 2.74
Ge3 0.6269 0.1269 0.0000  1 Ge 2.49, 2 Au 2.73, 2 Zr 2.74
Ge4 0.1269 0.3731 0.0000  1 Ge 2.49, 2 Au 2.73, 2 Zr 2.74
Au1 0.0000 0.0000 0.0000  4 Ge 2.73
Au2 0.5000 0.5000 0.0000  4 Ge 2.73
Zr1 0.1775 0.6775 0.5000  6 Ge 2.74-2.90
Zr2 0.6775 0.8225 0.5000  6 Ge 2.74-2.90
Zr3 0.8225 0.3225 0.5000  6 Ge 2.74-2.90
Zr4 0.3225 0.1775 0.5000  6 Ge 2.74-2.90